(1)
A plane-wave DFT calculation with PBE was carried out for crystalline Zr4MnRu3 at its relaxed geometry.

The density of states at the Fermi level is 3.49 states/eV/cell. The calculated total energy is -9.402 eV/atom. For the energy of formation, the calculation gives -4.03 eV/f.u.

The space group is P4/mmm (No. 123) and the conventional cell measures 3.255, 3.255 and 13.061 Å, with angles of 90.00, 90.00 and 90.00 degrees. The asymmetric unit holds Zr at (0.000, 0.000, 0.120), Zr at (0.000, 0.000, 0.373), Mn at (0.500, 0.500, 0.000), Ru at (0.500, 0.500, 0.250) and Ru at (0.500, 0.500, 0.500).

=====

(2)
A plane-wave DFT calculation with PBE was carried out for crystalline HoScAu2 at its relaxed geometry.

As for the energy above the most stable polymorph in this dataset: 0.000 eV per atom. The density of states at the Fermi level is 2.24 states/eV/cell. The calculated total energy is -5.197 eV/atom. For the energy of formation, the calculation gives -3.32 eV/f.u.

The space group is P4/mmm (No. 123) and the conventional cell measures 3.478, 3.478 and 7.044 Å, with angles of 90.00, 90.00 and 90.00 degrees. The asymmetric unit holds Ho at (0.000, 0.000, 0.000), Sc at (0.000, 0.000, 0.500) and Au at (0.500, 0.500, 0.271).

=====

(3)
A plane-wave DFT calculation with PBE was carried out for crystalline LiScPdF6 at its relaxed geometry.

Its raw formation energy is -2755 meV per atom. The calculated total energy is -5.496 eV/atom.

The space group is P-31c (No. 163) and the conventional cell measures 5.3022, 5.3022 and 9.3867 Å, with angles of 90.00, 90.00 and 120.00 degrees. The asymmetric unit holds Li at (0.3333, 0.6667, 0.2500), Sc at (0.3333, 0.6667, 0.7500), Pd at (0.0000, 0.0000, 0.0000) and F at (0.0032, 0.3474, 0.6338).

=====

(4)
A plane-wave DFT calculation with PBE was carried out for crystalline KTl2O3 at its relaxed geometry.

As for the energy above the most stable polymorph in this dataset: 0.003 eV per atom. Its raw formation energy is -810 meV per atom. The density of states at the Fermi level is 4.30 states/eV/cell. The calculated total energy is -4.261 eV/atom.

The space group is P2_1/m (No. 11) and the conventional cell measures 6.185, 3.540 and 9.644 Å, with angles of 90.00, 105.25 and 90.00 degrees. The asymmetric unit holds K at (0.021, 0.250, 0.330), Tl at (0.255, 0.250, 0.002), Tl at (0.488, 0.250, 0.658), O at (0.146, 0.750, 0.132), O at (0.300, 0.750, 0.518) and O at (0.364, 0.750, 0.874).

=====

(5)
A plane-wave DFT calculation with PBE was carried out for crystalline SiAgHg3 at its relaxed geometry.

As for the energy above the most stable polymorph in this dataset: 0.331 eV per atom. Its raw formation energy is 762 meV per atom. The density of states at the Fermi level is 4.41 states/eV/cell. The calculated total energy is -1.074 eV/atom.

The space group is Pm-3m (No. 221) and the conventional cell measures 5.291, 5.291 and 5.291 Å, with angles of 90.00, 90.00 and 90.00 degrees. The asymmetric unit holds Si at (0.000, 0.000, 0.000), Ag at (0.500, 0.500, 0.500) and Hg at (0.000, 0.500, 0.500).

=====

(6)
A plane-wave DFT calculation with PBE was carried out for crystalline SrLi2PmAu4 at its relaxed geometry.

The density of states at the Fermi level is 13.46 states/eV/cell. The calculated total energy is -3.600 eV/atom. For the energy of formation, the calculation gives -5.43 eV/f.u.

The space group is R-3m (No. 166, hexagonal axes) and the conventional cell measures 4.5907, 4.5907 and 29.9368 Å, with angles of 90.00, 90.00 and 120.00 degrees. The asymmetric unit holds Sr at (0.0000, 0.0000, 0.0000), Li at (0.0000, 0.0000, 0.2467), Pm at (0.0000, 0.0000, 0.5000), Au at (0.0000, 0.0000, 0.1115) and Au at (0.0000, 0.0000, 0.3978).